Below is an optimized crystal structure of KTlHPb2, with properties calculated at the PBE-GGA level.

Cell and atoms, written as POSCAR:
```
KTlHPb2
1.0
5.070 0.000 0.000
0.000 5.070 0.000
0.000 0.000 5.189
Pb H Tl K
2 1 1 1
direct
0.000 0.500 0.000
0.500 0.000 0.000
0.000 0.000 0.000
0.500 0.500 0.500
0.000 0.000 0.500
```

Calculated values
**Space-group type**: P4/mmm, No. 123
**Total DFT energy (no corrections)**: -13.81 eV/cell
**Theoretical density**: 8.2 Mg/m³

Below is an optimized crystal structure of K2TlHPb, with properties calculated at the PBE-GGA level.

Cell and atoms, written as POSCAR:
```
K2TlHPb
1.0
5.216 0.000 0.000
0.000 5.216 0.000
0.000 0.000 5.381
Pb H Tl K
1 1 1 2
direct
0.500 0.500 0.500
0.000 0.000 0.000
0.000 0.000 0.500
0.000 0.500 0.000
0.500 0.000 0.000
```

Calculated values
**Space-group type**: P4/mmm, No. 123
**Total DFT energy (no corrections)**: -11.62 eV/cell
**Theoretical density**: 5.6 Mg/m³
**Relative energy among the computed polymorphs**: 0 meV per atom

Below is an optimized crystal structure of K2TlHPb, with properties calculated at the PBE-GGA level.

Cell and atoms, written as POSCAR:
```
K2TlHPb
1.0
5.581 0.000 0.000
0.000 5.581 0.000
0.000 0.000 4.789
Pb H Tl K
1 1 1 2
direct
0.000 0.000 0.500
0.000 0.000 0.000
0.500 0.500 0.500
0.000 0.500 0.000
0.500 0.000 0.000
```

Calculated values
**Space-group type**: P4/mmm, No. 123
**Total DFT energy (no corrections)**: -11.59 eV/cell
**Theoretical density**: 5.5 Mg/m³
**Relative energy among the computed polymorphs**: 6 meV per atom

Below is an optimized crystal structure of KYHPb2, with properties calculated at the PBE-GGA level.

Cell and atoms, written as POSCAR:
```
KYHPb2
1.0
-0.508 -1.157 5.919
3.095 -2.502 -0.223
3.780 4.567 1.218
Pb Y K H
2 1 1 1
direct
0.000 0.000 0.500
0.500 0.000 0.000
0.000 0.500 0.000
0.500 0.500 0.500
0.000 0.000 0.000
```

Calculated values
**Space-group type**: P4/mmm, No. 123
**Total DFT energy (no corrections)**: -18.79 eV/cell
**Theoretical density**: 6.2 Mg/m³